VASP calculation (PBE) on crystalline SrGa8Pd2 at its relaxed geometry.

Lattice parameters (Å, degrees): 5.5653 5.5653 8.8637 90.00 90.00 90.00
With the nearest neighbours (Å) after each atom.
Fractional positions:
Ga1 0.7528 0.7528 0.8040  2 Pd 2.62, 4 Ga 2.75-2.81
Ga2 0.2472 0.2472 0.8040  2 Pd 2.62, 4 Ga 2.75-2.81
Pd1 0.5000 0.0000 0.0000  8 Ga 2.62
Ga3 0.2472 0.7528 0.1960  2 Pd 2.62, 4 Ga 2.75-2.81
Ga4 0.2472 0.2472 0.1960  2 Pd 2.62, 4 Ga 2.75-2.81
Ga5 0.7528 0.7528 0.1960  2 Pd 2.62, 4 Ga 2.75-2.81
Ga6 0.7528 0.2472 0.8040  2 Pd 2.62, 4 Ga 2.75-2.81
Pd2 0.0000 0.5000 0.0000  8 Ga 2.62
Sr1 0.5000 0.5000 0.5000  8 Ga 3.35
Ga7 0.2472 0.7528 0.8040  2 Pd 2.62, 4 Ga 2.75-2.81
Ga8 0.7528 0.2472 0.1960  2 Pd 2.62, 4 Ga 2.75-2.81

Properties
The calculation puts the raw total energy at -37.74 eV for the cell shown.

---

VASP calculation (PBE) on crystalline SiPAu2 at its relaxed geometry.

Lattice parameters (Å, degrees): 3.5374 3.5394 5.5179 90.00 90.00 90.00
With the nearest neighbours (Å) after each atom.
Fractional positions:
Au1 0.0000 0.0000 0.9988  2 Au 2.75-2.77, 4 Si 2.85, 4 P 2.86
P1 0.5000 0.5000 0.2500  2 Si 2.76, 8 Au 2.86
Au2 0.0000 0.0000 0.5012  2 Au 2.75-2.77, 4 Si 2.85, 4 P 2.86
Si1 0.5000 0.5000 0.7500  2 P 2.76, 8 Au 2.85

Properties
The value obtained for the uncorrected formation energy is 0.3718 eV per atom. As for the energy above the most stable polymorph in this dataset: 312 meV/atom.

---

VASP calculation (PBE) on crystalline RbCuS2Cl at its relaxed geometry.

Lattice parameters (Å, degrees): 6.1306 6.1306 5.9739 90.00 90.00 90.00
With the nearest neighbours (Å) after each atom.
Fractional positions:
Cl1 0.0000 0.0000 0.5000  2 Rb 2.99
S1 0.0000 0.5000 0.0000  2 Rb 3.07
Cu1 0.5000 0.5000 0.5000  8 S 4.28, 4 Cl 4.33
S2 0.5000 0.0000 0.0000  2 Rb 3.07
Rb1 0.0000 0.0000 0.0000  2 Cl 2.99, 4 S 3.07

Properties
The value obtained for the uncorrected formation energy is 1.0363 eV per atom. As for the energy above the most stable polymorph in this dataset: 1379 meV/atom.

---

VASP calculation (PBE) on crystalline Ni2AgMo at its relaxed geometry.

Lattice parameters (Å, degrees): 2.7102 2.7102 7.5331 90.00 90.00 90.00
With the nearest neighbours (Å) after each atom.
Fractional positions:
Mo1 0.5000 0.5000 0.7500  8 Ni 2.61, 4 Mo 2.71
Ag1 0.5000 0.5000 0.2500  4 Ag 2.71, 8 Ni 2.76
Ni1 0.0000 0.0000 0.9857  4 Mo 2.61, 4 Ni 2.71, 4 Ag 2.76
Ni2 0.0000 0.0000 0.5143  4 Mo 2.61, 4 Ni 2.71, 4 Ag 2.76

Properties
As for the energy above the most stable polymorph in this dataset: 0 meV/atom.

---

VASP calculation (PBE) on crystalline Pu2TlFe at its relaxed geometry.

Lattice parameters (Å, degrees): 3.5486 3.5486 10.1470 79.93 79.93 60.00
With the nearest neighbours (Å) after each atom.
Fractional positions:
Pu1 0.8884 0.8884 0.3348  3 Fe 2.63
Tl1 0.0000 0.0000 0.0000  2 Pu 3.33, 6 Tl 3.55
Pu2 0.1116 0.1116 0.6652  3 Fe 2.63
Fe1 0.5000 0.5000 0.5000  6 Pu 2.63

Properties
As for the energy above the most stable polymorph in this dataset: 281 meV/atom.

---

VASP calculation (PBE) on crystalline Ca4ZnOs at its relaxed geometry.

Lattice parameters (Å, degrees): 6.0463 6.0463 6.0463 60.00 60.00 60.00
With the nearest neighbours (Å) after each atom.
Fractional positions:
Zn1 0.0000 0.0000 0.0000  12 Ca 3.55, 4 Os 3.70
Ca1 0.3763 0.8712 0.3763  6 Ca 2.99-3.05
Os1 0.7500 0.7500 0.7500  12 Ca 3.54, 4 Zn 3.70
Ca2 0.3763 0.3763 0.8712  6 Ca 2.99-3.05
Ca3 0.8712 0.3763 0.3763  6 Ca 2.99-3.05
Ca4 0.3763 0.3763 0.3763  6 Ca 2.99-3.05

Properties
The calculation puts the raw total energy at -14.55 eV for the cell shown.

---

VASP calculation (PBE) on crystalline NdInPt at its relaxed geometry.

Lattice parameters (Å, degrees): 3.5115 3.5115 6.2299 106.37 106.37 90.00
With the nearest neighbours (Å) after each atom.
Fractional positions:
Pt1 0.9412 0.9412 0.8824  4 In 2.91, 4 Nd 3.08
Nd1 0.6001 0.6001 0.2003  4 Pt 3.08, 5 In 3.33-3.44
In1 0.3087 0.3087 0.6174  4 Pt 2.91

Properties
The calculation puts the raw total energy at -15.57 eV for the cell shown.

---

VASP calculation (PBE) on crystalline SbSeCl2 at its relaxed geometry.

Lattice parameters (Å, degrees): 8.5272 8.5272 8.5272 27.07 27.07 27.07
With the nearest neighbours (Å) after each atom.
Fractional positions:
Sb1 0.4906 0.4906 0.4906  3 Se 2.77, 3 Cl 2.90
Cl1 0.0187 0.0187 0.0187  3 Se 2.98
Se1 0.7618 0.7618 0.7618  3 Sb 2.77, 3 Cl 2.98
Cl2 0.2289 0.2289 0.2289  3 Sb 2.90

Properties
The value obtained for the uncorrected formation energy is -0.2184 eV per atom. As for the energy above the most stable polymorph in this dataset: 174 meV/atom.

---

VASP calculation (PBE) on crystalline Dy3Sb2C at its relaxed geometry.

Lattice parameters (Å, degrees): 6.5563 6.9175 6.9175 103.18 90.00 90.00
With the nearest neighbours (Å) after each atom.
Fractional positions:
Sb1 0.2500 0.8258 0.5386  1 Sb 3.11, 5 Dy 3.17-3.33
Sb2 0.7500 0.1742 0.4614  1 Sb 3.11, 5 Dy 3.17-3.33
Sb3 0.7500 0.4614 0.1742  1 Sb 3.11, 5 Dy 3.17-3.33
Dy1 0.7500 0.6599 0.6599  1 C 2.26
C1 0.7500 0.9225 0.9225  5 Dy 2.26-2.42
C2 0.2500 0.0775 0.0775  5 Dy 2.26-2.42
Dy2 0.0000 0.1524 0.8476  2 C 2.42
Dy3 0.5000 0.1524 0.8476  2 C 2.42
Dy4 0.2500 0.3401 0.3401  1 C 2.26
Sb4 0.2500 0.5386 0.8258  1 Sb 3.11, 5 Dy 3.17-3.33
Dy5 0.0000 0.8476 0.1524  2 C 2.42
Dy6 0.5000 0.8476 0.1524  2 C 2.42

Properties
The value obtained for the uncorrected formation energy is -0.6440 eV per atom.

---

VASP calculation (PBE) on crystalline TmZrCuHg at its relaxed geometry.

Lattice parameters (Å, degrees): 4.9361 4.9361 4.9361 60.00 60.00 60.00
With the nearest neighbours (Å) after each atom.
Fractional positions:
Zr1 0.7500 0.7500 0.7500  4 Hg 3.02, 4 Cu 3.02
Hg1 0.0000 0.0000 0.0000  4 Zr 3.02, 4 Tm 3.02
Tm1 0.2500 0.2500 0.2500  4 Cu 3.02, 4 Hg 3.02
Cu1 0.5000 0.5000 0.5000  4 Zr 3.02, 4 Tm 3.02

Properties
The calculation puts the raw total energy at -18.05 eV for the cell shown.

---

VASP calculation (PBE) on crystalline CuSb at its relaxed geometry.

Lattice parameters (Å, degrees): 7.1999 7.1999 7.1999 90.00 90.00 90.00
With the nearest neighbours (Å) after each atom.
Fractional positions:
Cu1 0.0000 0.2500 0.5000  4 Sb 2.55
Cu2 0.2500 0.5000 0.0000  4 Sb 2.55
Sb1 0.5000 0.2500 0.0000  4 Cu 2.55
Cu3 0.0000 0.7500 0.5000  4 Sb 2.55
Cu4 0.5000 0.0000 0.7500  4 Sb 2.55
Sb2 0.5000 0.7500 0.0000  4 Cu 2.55
Sb3 0.7500 0.0000 0.5000  4 Cu 2.55
Cu5 0.5000 0.0000 0.2500  4 Sb 2.55
Sb4 0.2500 0.0000 0.5000  4 Cu 2.55
Cu6 0.7500 0.5000 0.0000  4 Sb 2.55
Sb5 0.0000 0.5000 0.7500  4 Cu 2.55
Sb6 0.0000 0.5000 0.2500  4 Cu 2.55

Properties
The value obtained for the uncorrected formation energy is 0.3833 eV per atom.

---

VASP calculation (PBE) on crystalline CdIn14Bi at its relaxed geometry.

Lattice parameters (Å, degrees): 6.7637 6.7637 11.1015 90.00 90.00 120.33
With the nearest neighbours (Å) after each atom.
Fractional positions:
In1 0.2035 0.2897 0.0000  12 In 3.32-3.41
In2 0.2075 0.7925 0.0000  12 In 3.36-3.39
In3 0.3722 0.1194 0.2487  10 In 3.31-3.42, 1 Cd 3.40, 1 Bi 3.42
In4 0.8806 0.6278 0.7513  10 In 3.31-3.42, 1 Cd 3.40, 1 Bi 3.42
In5 0.3722 0.1194 0.7513  10 In 3.31-3.42, 1 Cd 3.40, 1 Bi 3.42
Cd1 0.0385 0.9615 0.5000  10 In 3.34-3.40, 2 Bi 3.37
In6 0.8806 0.6278 0.2487  10 In 3.31-3.42, 1 Cd 3.40, 1 Bi 3.42
In7 0.5363 0.9564 0.5000  8 In 3.32-3.42, 2 Bi 3.36-3.40, 2 Cd 3.38
In8 0.7103 0.7965 0.0000  12 In 3.32-3.41
In9 0.3750 0.6250 0.2459  11 In 3.35-3.42, 1 Bi 3.44
In10 0.7088 0.2912 0.0000  12 In 3.35-3.43
In11 0.0436 0.4637 0.5000  8 In 3.32-3.42, 2 Bi 3.36-3.40, 2 Cd 3.38
In12 0.8763 0.1237 0.2530  1 Cd 3.34, 11 In 3.37-3.43
In13 0.8763 0.1237 0.7470  1 Cd 3.34, 11 In 3.37-3.43
Bi1 0.5430 0.4570 0.5000  10 In 3.36-3.44, 2 Cd 3.37
In14 0.3750 0.6250 0.7541  11 In 3.35-3.42, 1 Bi 3.44

Properties
The calculation puts the raw total energy at -42.79 eV for the cell shown.

---

VASP calculation (PBE) on crystalline ThPd9Pb2 at its relaxed geometry.

Lattice parameters (Å, degrees): 4.1540 4.1540 12.4131 90.00 90.00 90.00
With the nearest neighbours (Å) after each atom.
Fractional positions:
Pd1 0.0000 0.5000 0.1684  8 Pd 2.94-2.95, 2 Th 2.95, 2 Pb 2.95
Pd2 0.5000 0.5000 0.6639  8 Pd 2.91-2.94, 4 Pb 2.94
Pb1 0.0000 0.0000 0.3368  12 Pd 2.90-2.95
Pd3 0.0000 0.5000 0.8316  8 Pd 2.94-2.95, 2 Th 2.95, 2 Pb 2.95
Pb2 0.0000 0.0000 0.6632  12 Pd 2.90-2.95
Pd4 0.5000 0.5000 0.0000  4 Th 2.94, 8 Pd 2.95
Pd5 0.0000 0.5000 0.5000  4 Pb 2.90, 8 Pd 2.91-2.94
Th1 0.0000 0.0000 0.0000  12 Pd 2.94-2.95
Pd6 0.5000 0.5000 0.3361  8 Pd 2.91-2.94, 4 Pb 2.94
Pd7 0.5000 0.0000 0.5000  4 Pb 2.90, 8 Pd 2.91-2.94
Pd8 0.5000 0.0000 0.8316  8 Pd 2.94-2.95, 2 Th 2.95, 2 Pb 2.95
Pd9 0.5000 0.0000 0.1684  8 Pd 2.94-2.95, 2 Th 2.95, 2 Pb 2.95

Properties
The calculation puts the raw total energy at -67.76 eV for the cell shown.

---

VASP calculation (PBE) on crystalline Mg13Ag3 at its relaxed geometry.

Lattice parameters (Å, degrees): 6.2338 6.2338 8.7005 90.00 90.00 94.15
With the nearest neighbours (Å) after each atom.
Fractional positions:
Ag1 0.7278 0.2722 0.0000  10 Mg 2.94-3.20
Mg1 0.2137 0.2283 0.0000  4 Ag 2.93-3.20, 8 Mg 3.02-3.23
Mg2 0.2521 0.7479 0.0000  10 Mg 3.02-3.23, 2 Ag 3.14
Mg3 0.7717 0.7863 0.0000  4 Ag 2.93-3.20, 8 Mg 3.02-3.23
Mg4 0.7585 0.7540 0.5000  2 Ag 2.95, 10 Mg 3.08-3.20
Mg5 0.2460 0.2415 0.5000  2 Ag 2.95, 10 Mg 3.08-3.20
Mg6 0.9910 0.4878 0.7572  3 Ag 2.94-3.12, 9 Mg 3.02-3.20
Mg7 0.5122 0.0090 0.2428  3 Ag 2.94-3.12, 9 Mg 3.02-3.20
Mg8 0.2515 0.7485 0.5000  2 Ag 3.04, 10 Mg 3.08-3.19
Mg9 0.4986 0.5014 0.2400  1 Ag 2.96, 11 Mg 3.07-3.24
Ag2 0.0112 0.9888 0.7418  11 Mg 2.93-3.16
Mg10 0.9910 0.4878 0.2428  3 Ag 2.94-3.12, 9 Mg 3.02-3.20
Ag3 0.0112 0.9888 0.2582  11 Mg 2.93-3.16
Mg11 0.5122 0.0090 0.7572  3 Ag 2.94-3.12, 9 Mg 3.02-3.20
Mg12 0.7526 0.2474 0.5000  10 Mg 3.02-3.24, 2 Ag 3.16
Mg13 0.4986 0.5014 0.7600  1 Ag 2.96, 11 Mg 3.07-3.24

Properties
The calculation puts the raw total energy at -30.35 eV for the cell shown.

---

VASP calculation (PBE) on crystalline PSeBr2 at its relaxed geometry.

Lattice parameters (Å, degrees): 9.1294 9.1294 9.1294 160.83 147.18 38.29
With the nearest neighbours (Å) after each atom.
Fractional positions:
P1 0.5687 0.5687 0.0000  2 Se 2.22
Br1 0.9874 0.9874 0.0000  2 Br 3.04, 4 P 3.31
Se1 0.6622 0.1622 0.5000  2 P 2.22
Br2 0.2817 0.7817 0.5000  2 Br 3.04

Properties
The value obtained for the uncorrected formation energy is 0.1861 eV per atom. As for the energy above the most stable polymorph in this dataset: 244 meV/atom.

---

VASP calculation (PBE) on crystalline Ta2BeP at its relaxed geometry.

Lattice parameters (Å, degrees): 6.1344 6.1344 6.1344 32.56 32.56 32.56
With the nearest neighbours (Å) after each atom.
Fractional positions:
Ta1 0.5064 0.5064 0.5064  3 Be 2.39, 3 P 2.53
Be1 0.2500 0.2500 0.2500  6 Ta 2.39
Ta2 0.9936 0.9936 0.9936  3 Be 2.39, 3 P 2.53
P1 0.7500 0.7500 0.7500  6 Ta 2.53

Properties
As for the energy above the most stable polymorph in this dataset: 401 meV/atom.

---

Calculated total magnetic moment in order - 0.00 0.00 3.00 0.00 9.92 0.00 0.00 0.01 0.00 0.87 0.00 0.00 0.00 0.00 0.00 0.00 μB/cell